# 1
KRhS3: optimized geometry, PBE-GGA.

Cell and atoms, written as POSCAR:
```
KRhS3
1.0
6.4451 0.0000 0.0000
3.2226 5.5816 0.0000
3.2226 1.8605 6.6194
K Rh S
2 2 6
direct
0.1101 0.1101 0.6697
0.8899 0.8899 0.3303
0.3342 0.3342 0.9973
0.6658 0.6658 0.0027
0.0698 0.5720 0.7818
0.5764 0.0698 0.7818
0.4280 0.4236 0.2182
0.4236 0.9302 0.2182
0.9302 0.4280 0.2182
0.5720 0.5764 0.7818
```

The energy above the most stable polymorph in this dataset comes out at 0.000 eV per atom. As for the density of states at the Fermi level: 0.52 states/eV per atom. As for the space group: R-3.

---

# 2
KRhS3: optimized geometry, PBE-GGA.

Cell and atoms, written as POSCAR:
```
KRhS3
1.0
4.7898 0.0000 0.0000
0.0000 4.7898 0.0000
0.0000 0.0000 4.7898
K Rh S
1 1 3
direct
0.5000 0.5000 0.5000
0.0000 0.0000 0.0000
0.0000 0.5000 0.0000
0.0000 0.0000 0.5000
0.5000 0.0000 0.0000
```

The energy above the most stable polymorph in this dataset comes out at 0.340 eV per atom. As for the density of states at the Fermi level: 1.05 states/eV per atom. As for the space group: Pm-3m.

---

# 3
K3RhS3: optimized geometry, PBE-GGA.

Cell and atoms, written as POSCAR:
```
K3RhS3
1.0
7.4649 0.3990 -0.0561
-2.9685 6.8609 -0.0561
-0.7322 -1.1822 7.6826
K Rh S
6 2 6
direct
0.6097 0.6097 0.3591
0.1796 0.8204 0.5000
0.8204 0.1796 0.5000
0.2640 0.7360 0.0000
0.7360 0.2640 0.0000
0.3903 0.3903 0.6409
0.8589 0.8589 0.8708
0.1411 0.1411 0.1292
0.8820 0.8820 0.1656
0.8470 0.5706 0.7180
0.5706 0.8470 0.7180
0.1530 0.4294 0.2820
0.4294 0.1530 0.2820
0.1180 0.1180 0.8344
```

As for the density of states at the Fermi level: 0.52 states/eV per atom. As for the space group: C2/m.

---

# 4
K2RhS: optimized geometry, PBE-GGA.

Cell and atoms, written as POSCAR:
```
K2RhS
1.0
4.2242 0.0000 0.0000
0.0000 4.2242 0.0000
2.1121 2.1121 10.4875
K Rh S
4 2 2
direct
0.6209 0.1250 0.2500
0.1291 0.6250 0.2500
0.3750 0.3791 0.7500
0.8750 0.8709 0.7500
0.0000 0.0000 0.0000
0.7500 0.2500 0.5000
0.5000 0.5000 0.0000
0.2500 0.7500 0.5000
```

As for the density of states at the Fermi level: 0.47 states/eV per atom. As for the space group: I-42d.

---

For each record above, in turn, the calculated calculated total energy values are -46.16; -21.38; -57.10; -24.60 eV for the cell shown.